The following is a DFT calculation (meta-GGA SCAN) of LaMg2Sb at its PBEsol-relaxed geometry.

Properties
As for the crystal system: orthorhombic. For the spin magnetization, the calculation gives 0.860 μB/f.u. As for the space group: Imm2. The calculation puts the uncorrected formation energy at -396 meV/atom.

```
4
Lattice="4.453 0.000 0.000 0.000 4.757 0.000 -2.226 -2.378 4.979" Properties=species:S:1:pos:R:3 pbc="T T T"
La 2.226 0.000 2.617
Mg 0.000 0.000 0.029
Mg 0.000 2.378 2.234
Sb 2.226 2.378 0.099
```